Entry from the Alexandria database: a geometry-optimized CdSi2Tc structure (PBE).

Structure (extended XYZ):
```
8
Lattice="-4.1604 0.3536 0.6467 -0.1919 -4.0991 1.0064 -0.7813 0.0122 8.7701" Properties=species:S:1:pos:R:3 pbc="T T T"
Tc -2.1762 -1.8728 0.8265
Tc -1.5747 -2.9798 5.3015
Si -2.4407 -0.3206 2.6636
Si -4.3768 -2.8949 7.9323
Si -2.2356 -1.7687 7.2891
Si -1.2142 -2.4825 2.9612
Cd 0.0000 0.0000 0.0000
Cd -3.5590 -0.7535 5.1216
```

Calculated values
The space group is I-42d, No. 122. The value obtained for the energy relative to the elements, uncorrected is 1.586 eV/f.u.

***

Entry from the Alexandria database: a geometry-optimized NbHgRh structure (PBE).

Structure (extended XYZ):
```
6
Lattice="2.9272 0.0000 0.0000 0.0000 4.5728 0.0000 0.0000 0.0000 7.8153" Properties=species:S:1:pos:R:3 pbc="T T T"
Rh 0.0000 2.2864 1.4170
Rh 1.4636 0.0000 5.2372
Hg 1.4636 0.0000 2.5080
Hg 1.4636 2.2864 6.7189
Nb 0.0000 2.2864 4.0918
Nb 0.0000 0.0000 7.7049
```

Calculated values
The space group is Pmm2, No. 25. The calculation puts the energy above the most stable polymorph in this dataset at 0.0395 eV per atom. The formation energy comes out at -0.030 eV per atom.

***

Entry from the Alexandria database: a geometry-optimized NaPuPb6 structure (PBE).

Structure (extended XYZ):
```
8
Lattice="4.8899 0.0000 0.0000 0.0000 4.8899 0.0000 0.0000 0.0000 9.8505" Properties=species:S:1:pos:R:3 pbc="T T T"
Pb 0.0000 2.4450 2.4613
Pb 2.4450 0.0000 7.3891
Pb 2.4450 2.4450 4.9252
Pb 2.4450 2.4450 0.0000
Pb 0.0000 2.4450 7.3891
Pb 2.4450 0.0000 2.4613
Pu 0.0000 0.0000 4.9252
Na 0.0000 0.0000 0.0000
```

Calculated values
The space group is P4/mmm, No. 123. The formation energy comes out at -0.112 eV per atom.

***

Entry from the Alexandria database: a geometry-optimized YMnI3 structure (PBE).

Structure (extended XYZ):
```
5
Lattice="6.0299 0.0000 0.0000 0.0000 6.0299 0.0000 0.0000 0.0000 6.0299" Properties=species:S:1:pos:R:3 pbc="T T T"
I 3.0149 0.0000 0.0000
I 0.0000 3.0149 0.0000
I 0.0000 0.0000 3.0149
Mn 3.0149 3.0149 3.0149
Y 0.0000 0.0000 0.0000
```

Calculated values
The space group is Pm-3m, No. 221. The value obtained for the energy relative to the elements, uncorrected is -1.411 eV/f.u. The calculation puts the energy above the most stable polymorph in this dataset at 0.0000 eV per atom.

***

| no. | N(E_F) (states/eV per atom) |
| --- | --- |
| 1 | 0.628 |
| 2 | 0.748 |
| 3 | 2.264 |
| 4 | 1.004 |